[1]
An optimized crystal structure of DyY3Tm2As6, computed with PBE.

a b c (Å): 7.106 7.106 7.105
angles (deg): 99.58 99.58 119.99
Element x y z (fractional)
Dy  0.000  0.000  0.000
Y  0.166  0.834  0.500
Y  0.834  0.166  0.500
Y  0.500  0.500  0.500
Tm  0.333  0.667  0.000
Tm  0.667  0.333  0.000
As  0.918  0.582  0.753
As  0.747  0.747  0.247
As  0.082  0.418  0.247
As  0.582  0.918  0.753
As  0.253  0.253  0.753
As  0.418  0.082  0.247

Results
Theoretical density   6.9 g cm⁻³
Density of states at the Fermi level   1.88 states/eV/f.u.
Space group   C2/m, No. 12
Energy relative to the elements   -148.15 kJ/mol of atoms

[2]
An optimized crystal structure of DyTm2ZrAs4, computed with PBE.

a b c (Å): 4.016 6.961 6.958
angles (deg): 109.29 90.00 90.00
Element x y z (fractional)
Dy  0.500  0.500  0.000
Tm  0.500  0.000  0.500
Tm  0.000  0.500  0.500
Zr  0.000  0.000  0.000
As  0.500  0.242  0.244
As  0.500  0.758  0.756
As  0.000  0.244  0.751
As  0.000  0.756  0.249

Results
Theoretical density   8.1 g cm⁻³
Density of states at the Fermi level   1.40 states/eV/f.u.
Space group   P2/m, No. 10
Energy relative to the elements   -136.39 kJ/mol of atoms

[3]
An optimized crystal structure of DyTmZr2As4, computed with PBE.

a b c (Å): 3.950 6.850 6.935
angles (deg): 109.28 90.00 90.00
Element x y z (fractional)
Dy  0.500  0.500  0.000
Tm  0.000  0.000  0.000
Zr  0.500  0.000  0.500
Zr  0.000  0.500  0.500
As  0.500  0.252  0.260
As  0.500  0.748  0.740
As  0.000  0.244  0.739
As  0.000  0.756  0.261

Results
Theoretical density   7.6 g cm⁻³
Density of states at the Fermi level   4.28 states/eV/f.u.
Space group   P2/m, No. 10
Energy relative to the elements   -126.28 kJ/mol of atoms

[4]
An optimized crystal structure of Dy5U3As8, computed with PBE.

a b c (Å): 8.175 8.175 8.230
angles (deg): 60.22 60.22 60.00
Element x y z (fractional)
Dy  0.500  0.000  0.000
Dy  0.500  0.500  0.000
Dy  0.000  0.000  0.000
Dy  0.000  0.500  0.000
Dy  0.500  0.500  0.500
U  0.500  0.000  0.500
U  0.000  0.000  0.500
U  0.000  0.500  0.500
As  0.250  0.250  0.747
As  0.250  0.753  0.747
As  0.753  0.250  0.747
As  0.750  0.750  0.749
As  0.750  0.750  0.253
As  0.750  0.247  0.253
As  0.247  0.750  0.253
As  0.250  0.250  0.251

Results
Theoretical density   9.0 g cm⁻³
Density of states at the Fermi level   16.76 states/eV/f.u.
Space group   R-3m, No. 166
Energy relative to the elements   -118.91 kJ/mol of atoms